Below is a relaxed structure of La3Fe2Cu2Si4, with properties calculated at the GGA-PBE level.

a = 12.259 Å, b = 12.259 Å, c = 12.259 Å
α = 160.57°, β = 160.36°, γ = 27.76°
Element x y z (fractional)
Cu (0.100, 0.100, 0.000)
Cu (0.900, 0.900, 0.000)
Fe (0.749, 0.249, 0.500)
Fe (0.251, 0.751, 0.500)
La (0.347, 0.347, 0.000)
La (0.653, 0.653, 0.000)
La (0.500, 0.000, 0.500)
Si (0.205, 0.205, 0.000)
Si (0.795, 0.795, 0.000)
Si (0.949, 0.449, 0.500)
Si (0.051, 0.551, 0.500)

Properties
The spin magnetization comes out at 0.002 μB per atom. The value obtained for the calculated total energy is -6.108 eV per atom. The crystal system is orthorhombic.

***

Below is a relaxed structure of NaTbTl2I6, with properties calculated at the GGA-PBE level.

a = 8.599 Å, b = 8.599 Å, c = 8.599 Å
α = 60.00°, β = 60.00°, γ = 60.00°
Element x y z (fractional)
I (0.252, 0.748, 0.252)
I (0.748, 0.252, 0.252)
I (0.748, 0.748, 0.252)
I (0.252, 0.252, 0.748)
I (0.748, 0.252, 0.748)
I (0.252, 0.748, 0.748)
Na (0.000, 0.000, 0.000)
Tb (0.500, 0.500, 0.500)
Tl (0.250, 0.250, 0.250)
Tl (0.750, 0.750, 0.750)

Properties
The spin magnetization comes out at 0.001 μB per atom. The value obtained for the calculated total energy is -2.984 eV per atom. The crystal system is cubic.

***

Below is a relaxed structure of Dy4Tm2LuNi2Te2, with properties calculated at the GGA-PBE level.

a = 9.298 Å, b = 9.298 Å, c = 9.298 Å
α = 156.21°, β = 67.26°, γ = 118.14°
Element x y z (fractional)
Dy (0.715, 0.581, 0.133)
Dy (0.082, 0.728, 0.354)
Dy (0.374, 0.728, 0.646)
Dy (0.448, 0.581, 0.867)
Lu (0.000, 0.000, 0.000)
Ni (0.305, 0.069, 0.236)
Ni (0.833, 0.069, 0.764)
Te (0.337, 0.337, 0.000)
Te (0.737, 0.237, 0.500)
Tm (0.695, 0.379, 0.316)
Tm (0.063, 0.379, 0.684)

Properties
The spin magnetization comes out at 0.000 μB per atom. As for the energy above the most stable polymorph in this dataset: 0 meV/atom. The value obtained for the calculated total energy is -5.154 eV per atom. The crystal system is orthorhombic.

***

Below is a relaxed structure of PmMgO3, with properties calculated at the GGA-PBE level.

a = 4.119 Å, b = 4.119 Å, c = 4.821 Å
α = 90.00°, β = 90.00°, γ = 90.00°
Element x y z (fractional)
Mg (0.000, 0.000, 0.724)
O (0.500, 0.500, 0.478)
O (0.500, 0.000, 0.840)
O (0.000, 0.500, 0.840)
Pm (0.500, 0.500, 0.017)

Properties
The spin magnetization comes out at 0.200 μB per atom. The value obtained for the calculated total energy is -6.329 eV per atom. The crystal system is tetragonal.

***

> Among the records above, which one has the lowest calculated total energy?

PmMgO3

***

> Number 3 is which compound?

Dy4Tm2LuNi2Te2

***

> Which of these has the lowest calculated total energy?

PmMgO3